1.
The following is a DFT calculation (PBE) of a relaxed structure of BaCrPb2Br8.

a b c (Å): 7.266 6.829 9.059
angles (deg): 89.99 90.00 86.47
Each line ends with the local moment (μB).
Atoms (fractional coordinates):
Pb1 0.500 0.500 0.773  0.01
Br1 0.660 0.718 0.500  0.00
Ba1 0.000 0.000 0.500  0.00
Br2 0.142 0.774 0.201  -0.02
Br3 0.858 0.226 0.799  -0.02
Br4 0.337 0.250 0.000  0.01
Br5 0.142 0.774 0.799  -0.02
Br6 0.340 0.282 0.500  0.00
Cr1 0.000 0.000 0.000  3.63
Pb2 0.500 0.500 0.227  0.01
Br7 0.858 0.226 0.201  -0.02
Br8 0.663 0.750 0.000  0.01

Calculated values
Symmetry: P2/m, No. 10



2.
The following is a DFT calculation (PBE) of a relaxed structure of RbBa2CrBr8.

a b c (Å): 7.075 7.846 9.580
angles (deg): 63.14 92.20 95.03
Each line ends with the local moment (μB).
Atoms (fractional coordinates):
Br1 0.459 0.279 0.434  0.00
Br2 0.731 0.848 0.905  -0.03
Br3 0.269 0.152 0.095  -0.03
Br4 0.773 0.148 0.103  -0.03
Ba1 0.484 0.732 0.232  0.00
Br5 0.541 0.721 0.566  0.00
Br6 0.008 0.295 0.733  -0.03
Br7 0.992 0.705 0.267  -0.03
Br8 0.227 0.852 0.897  -0.03
Cr1 0.000 0.000 0.000  2.93
Rb1 0.000 0.000 0.500  0.00
Ba2 0.516 0.268 0.768  0.00

Calculated values
Symmetry: P-1, No. 2



3.
The following is a DFT calculation (PBE) of a relaxed structure of BaCrSe2Br.

a b c (Å): 6.238 6.238 6.121
angles (deg): 90.00 90.00 90.00
Each line ends with the local moment (μB).
Atoms (fractional coordinates):
Se1 0.500 0.000 0.000  -0.58
Cr1 0.500 0.500 0.500  4.38
Ba1 0.000 0.000 0.000  -0.01
Se2 0.000 0.500 0.000  -0.58
Br1 0.000 0.000 0.500  -0.04

Calculated values
Energy relative to the lowest polymorph listed for this composition (eV per atom): 1.267
Symmetry: P4/mmm, No. 123



4.
The following is a DFT calculation (PBE) of a relaxed structure of BaCrSe2Br.

a b c (Å): 5.054 5.054 5.219
angles (deg): 90.00 90.00 90.00
Each line ends with the local moment (μB).
Atoms (fractional coordinates):
Br1 0.000 0.000 0.500  -0.03
Se1 0.000 0.500 0.000  -0.08
Ba1 0.500 0.500 0.500  0.01
Se2 0.500 0.000 0.000  -0.08
Cr1 0.000 0.000 0.000  3.17

Calculated values
Energy relative to the lowest polymorph listed for this composition (eV per atom): 0.000
Symmetry: P4/mmm, No. 123



5.
The following is a DFT calculation (PBE) of a relaxed structure of BaCrSeBr2.

a b c (Å): 5.196 5.196 5.239
angles (deg): 90.00 90.00 90.00
Each line ends with the local moment (μB).
Atoms (fractional coordinates):
Cr1 0.000 0.000 0.000  3.63
Br1 0.000 0.500 0.000  0.00
Ba1 0.500 0.500 0.500  0.01
Se1 0.000 0.000 0.500  -0.03
Br2 0.500 0.000 0.000  0.00

Calculated values
Energy relative to the lowest polymorph listed for this composition (eV per atom): 0.000
Symmetry: P4/mmm, No. 123



6.
The following is a DFT calculation (PBE) of a relaxed structure of BaCrSeBr2.

a b c (Å): 6.162 6.162 6.386
angles (deg): 90.00 90.00 90.00
Each line ends with the local moment (μB).
Atoms (fractional coordinates):
Se1 0.000 0.000 0.500  -0.55
Br1 0.500 0.000 0.000  -0.02
Cr1 0.500 0.500 0.500  4.41
Ba1 0.000 0.000 0.000  -0.01
Br2 0.000 0.500 0.000  -0.02

Calculated values
Energy relative to the lowest polymorph listed for this composition (eV per atom): 0.965
Symmetry: P4/mmm, No. 123



7.
The following is a DFT calculation (PBE) of a relaxed structure of BaSr2CrBr.

a b c (Å): 5.953 6.370 5.953
angles (deg): 90.00 90.00 90.00
Each line ends with the local moment (μB).
Atoms (fractional coordinates):
Cr1 0.500 0.500 0.500  4.13
Ba1 0.000 0.500 0.000  -0.04
Br1 0.000 0.000 0.000  0.00
Sr1 0.500 0.000 0.000  -0.02
Sr2 0.000 0.000 0.500  -0.03

Calculated values
Symmetry: P4/mmm, No. 123



8.
The following is a DFT calculation (PBE) of a relaxed structure of Cs3BaBr.

a b c (Å): 7.284 7.284 7.284
angles (deg): 90.00 90.00 90.00
Each line ends with the local moment (μB).
Atoms (fractional coordinates):
Cs1 0.000 0.000 0.500  0.02
Ba1 0.500 0.500 0.500  0.15
Cs2 0.000 0.500 0.000  0.02
Br1 0.000 0.000 0.000  0.01
Cs3 0.500 0.000 0.000  0.02

Calculated values
Symmetry: Pm-3m, No. 221



| no. | M_tot (μB/atom) | formation energy from raw total energies (eV/atom) |
| --- | --- | --- |
| 1 | 0.3333 | -1.114 |
| 2 | 0.2500 | -1.636 |
| 3 | 0.5954 | 0.184 |
| 4 | 0.6496 | -1.083 |
| 5 | 0.8000 | -1.207 |
| 6 | 0.7983 | -0.242 |
| 7 | 0.9431 | 0.027 |
| 8 | 0.2954 | -0.533 |